Model 1:
VASP calculation (PBE) on a relaxed structure of ZrBe3Te.

a b c (Å): 4.5551 4.5551 4.5551
angles (deg): 90.00 90.00 90.00
Closest atoms and distances in Å follow each position.
Space group Pm-3m (No. 221)
Inequivalent atoms, fractional coordinates:
Zr1 0.0000 0.0000 0.0000 x1  12 Be 3.22
Be1 0.0000 0.5000 0.5000 x3  2 Te 2.28
Te1 0.5000 0.5000 0.5000 x1  6 Be 2.28

---

Model 2:
VASP calculation (PBE) on a relaxed structure of ZrBe3Te.

a b c (Å): 4.7423 4.7423 4.7423
angles (deg): 90.00 90.00 90.00
Closest atoms and distances in Å follow each position.
Space group Pm-3m (No. 221)
Inequivalent atoms, fractional coordinates:
Zr1 0.0000 0.0000 0.0000 x1  6 Be 2.37
Be1 0.0000 0.0000 0.5000 x3  2 Zr 2.37
Te1 0.5000 0.5000 0.5000 x1  12 Be 3.35

---

Ranked by calculated energy, most stable first: model 1, model 2.

---

Model 1:
VASP calculation (PBE) on a relaxed structure of Zr3BeTe.

a b c (Å): 4.7409 4.7409 4.7409
angles (deg): 90.00 90.00 90.00
Closest atoms and distances in Å follow each position.
Space group Pm-3m (No. 221)
Inequivalent atoms, fractional coordinates:
Zr1 0.0000 0.0000 0.5000 x3  2 Be 2.37
Be1 0.0000 0.0000 0.0000 x1  6 Zr 2.37
Te1 0.5000 0.5000 0.5000 x1  12 Zr 3.35

---

Model 2:
VASP calculation (PBE) on a relaxed structure of Zr3BeTe.

a b c (Å): 20.2525 3.6372 5.6617
angles (deg): 90.00 97.53 90.00
Closest atoms and distances in Å follow each position.
Space group C2/m (No. 12)
Inequivalent atoms, fractional coordinates:
Zr1 0.0021 0.0000 0.2664 x4  1 Zr 2.66, 4 Te 2.96-2.97
Zr2 0.1374 0.5000 0.5594 x4  3 Be 2.70-2.81, 2 Te 2.98-3.00
Zr3 0.2016 0.0000 0.1130 x4  3 Be 2.65-2.74, 2 Te 2.90
Be1 0.2365 0.0000 0.5966 x4  2 Be 2.23
Te1 0.0896 0.5000 0.0346 x4  8 Zr 2.90-3.00

---

Ranked by calculated energy, most stable first: model 2, model 1.

---

Model 1:
VASP calculation (PBE) on a relaxed structure of Th2BeTl.

a b c (Å): 3.3737 3.3737 8.9083
angles (deg): 90.00 90.00 90.00
Closest atoms and distances in Å follow each position.
Space group P4/mmm (No. 123)
Inequivalent atoms, fractional coordinates:
Th1 0.0000 0.0000 0.2068 x2  4 Be 3.01, 4 Th 3.37
Be1 0.5000 0.5000 0.0000 x1  8 Th 3.01, 4 Be 3.37
Tl1 0.5000 0.5000 0.5000 x1  4 Tl 3.37, 8 Th 3.54

---

Model 2:
VASP calculation (PBE) on a relaxed structure of Th2BeTl.

a b c (Å): 3.3509 3.3509 35.2941
angles (deg): 90.00 90.00 120.00
Closest atoms and distances in Å follow each position.
Space group R-3m (No. 166, hexagonal axes)
Inequivalent atoms, fractional coordinates:
Th1 0.0000 0.0000 0.0846 x6  1 Be 2.99
Be1 0.0000 0.0000 0.0000 x3  2 Th 2.99
Tl1 0.0000 0.0000 0.5000 x3  6 Tl 3.35, 6 Th 3.48

---

Ranked by calculated energy, most stable first: model 1, model 2.

---

Model 1:
VASP calculation (PBE) on a relaxed structure of TmThBe.

a b c (Å): 3.4317 3.4317 12.2394
angles (deg): 90.00 90.00 90.00
Closest atoms and distances in Å follow each position.
Space group I4mm (No. 107)
Inequivalent atoms, fractional coordinates:
Tm1 0.0000 0.0000 0.0000 x2  4 Be 2.93
Th1 0.0000 0.0000 0.7166 x2  4 Be 3.04
Be1 0.0000 0.0000 0.3662 x2  4 Tm 2.93, 4 Th 3.04

---

Model 2:
VASP calculation (PBE) on a relaxed structure of TmThBe.

a b c (Å): 5.5778 9.9662 10.2480
angles (deg): 90.00 90.00 90.00
Closest atoms and distances in Å follow each position.
Space group Fmmm (No. 69)
Inequivalent atoms, fractional coordinates:
Tm1 0.0000 0.0000 0.1615 x8  4 Be 3.00, 3 Tm 3.31-3.33
Th1 0.0000 0.1653 0.5000 x8  4 Be 3.04, 3 Th 3.26-3.29
Be1 0.2500 0.2500 0.2500 x8  2 Be 2.79, 4 Tm 3.00, 4 Th 3.04

---

Ranked by calculated energy, most stable first: model 2, model 1.

---

Model 1:
VASP calculation (PBE) on a relaxed structure of Th2BeZn.

a b c (Å): 3.3206 3.3206 32.9474
angles (deg): 90.00 90.00 120.00
Closest atoms and distances in Å follow each position.
Space group R-3m (No. 166, hexagonal axes)
Inequivalent atoms, fractional coordinates:
Th1 0.0000 0.0000 0.0903 x6  1 Be 2.97, 3 Zn 3.16, 6 Th 3.32
Be1 0.0000 0.0000 0.0000 x3  2 Th 2.97, 6 Be 3.32
Zn1 0.0000 0.0000 0.5000 x3  6 Th 3.16, 6 Zn 3.32

---

Model 2:
VASP calculation (PBE) on a relaxed structure of Th2BeZn.

a b c (Å): 7.1953 7.1953 7.1953
angles (deg): 90.00 90.00 90.00
Closest atoms and distances in Å follow each position.
Space group Fm-3m (No. 225)
Inequivalent atoms, fractional coordinates:
Th1 0.2500 0.2500 0.2500 x8  4 Be 3.12, 4 Zn 3.12
Be1 0.0000 0.0000 0.0000 x4  8 Th 3.12
Zn1 0.0000 0.0000 0.5000 x4  8 Th 3.12

---

Model 3:
VASP calculation (PBE) on a relaxed structure of Th2BeZn.

a b c (Å): 3.5714 3.5714 7.2406
angles (deg): 90.00 90.00 90.00
Closest atoms and distances in Å follow each position.
Space group P4/mmm (No. 123)
Inequivalent atoms, fractional coordinates:
Th1 0.0000 0.0000 0.2375 x2  4 Be 3.06, 4 Zn 3.16
Be1 0.5000 0.5000 0.0000 x1  8 Th 3.06
Zn1 0.5000 0.5000 0.5000 x1  8 Th 3.16

---

Ranked by calculated energy, most stable first: model 3, model 2, model 1.

---

Model 1:
VASP calculation (PBE) on a relaxed structure of Ti4Be.

a b c (Å): 8.8747 8.8747 8.8747
angles (deg): 90.00 90.00 90.00
Closest atoms and distances in Å follow each position.
Space group Fd-3m (No. 227, origin choice 2)
Inequivalent atoms, fractional coordinates:
Ti1 0.0172 0.0172 0.2328 x32  1 Be 2.19
Be1 0.1250 0.1250 0.6250 x8  4 Ti 2.19

---

Model 2:
VASP calculation (PBE) on a relaxed structure of Ti4Be.

a b c (Å): 4.4267 4.4267 4.4267
angles (deg): 90.00 90.00 90.00
Closest atoms and distances in Å follow each position.
Space group Pm-3m (No. 221)
Inequivalent atoms, fractional coordinates:
Ti1 0.0000 0.0000 0.0000 x1  12 Ti 3.13
Ti2 0.0000 0.5000 0.5000 x3  2 Be 2.21
Be1 0.5000 0.5000 0.5000 x1  6 Ti 2.21

---

Ranked by calculated energy, most stable first: model 2, model 1.

---

Model 1:
VASP calculation (PBE) on a relaxed structure of Ti3Be.

a b c (Å): 3.8480 3.8480 8.0737
angles (deg): 90.00 90.00 90.00
Closest atoms and distances in Å follow each position.
Space group I4/mmm (No. 139)
Inequivalent atoms, fractional coordinates:
Ti1 0.0000 0.0000 0.0000 x2  4 Be 2.72, 8 Ti 2.79
Ti2 0.0000 0.5000 0.2500 x4  8 Ti 2.72-2.79, 4 Be 2.79
Be1 0.0000 0.0000 0.5000 x2  12 Ti 2.72-2.79

---

Model 2:
VASP calculation (PBE) on a relaxed structure of Ti3Be.

a b c (Å): 2.9755 9.2063 4.4222
angles (deg): 90.00 90.00 90.00
Closest atoms and distances in Å follow each position.
Space group Imm2 (No. 44)
Inequivalent atoms, fractional coordinates:
Ti1 0.0000 0.0000 0.0000 x2  4 Be 2.66-2.67, 2 Ti 2.96
Ti2 0.0000 0.2173 0.5068 x4  2 Be 2.49, 4 Ti 2.73
Be1 0.0000 0.5000 0.9976 x2  8 Ti 2.49-2.67

---

Ranked by calculated energy, most stable first: model 1, model 2.

---

Model 1:
VASP calculation (PBE) on a relaxed structure of Ti3Be.

a b c (Å): 6.2429 6.2429 6.2429
angles (deg): 90.00 90.00 90.00
Closest atoms and distances in Å follow each position.
Space group Fm-3m (No. 225)
Inequivalent atoms, fractional coordinates:
Ti1 0.0000 0.0000 0.0000 x4  8 Ti 2.70
Ti2 0.2500 0.2500 0.2500 x8  4 Be 2.70, 4 Ti 2.70
Be1 0.0000 0.0000 0.5000 x4  8 Ti 2.70

---

Model 2:
VASP calculation (PBE) on a relaxed structure of Ti3Be.

a b c (Å): 5.5513 5.5513 4.4836
angles (deg): 90.00 90.00 120.00
Closest atoms and distances in Å follow each position.
Space group P6_3/mmc (No. 194)
Inequivalent atoms, fractional coordinates:
Ti1 0.1741 0.3482 0.2500 x6  8 Ti 2.65-2.90, 4 Be 2.71-2.78
Be1 0.3333 0.6667 0.7500 x2  12 Ti 2.71-2.78

---

Ranked by calculated energy, most stable first: model 2, model 1.